DFT (PBE-GGA) results for crystalline Pm3FeB7 at its relaxed geometry.

ΔE_f = -0.43 eV per atom
raw total energy = -6.743 eV per atom
magnetic moment = 0.000 μB per atom

abc: 8.264 8.264 9.555
angles: 90.00 90.00 155.65
Element x y z (fractional)
Pm 0.103 0.897 0.561
Pm 0.103 0.897 0.939
Pm 0.244 0.756 0.250
Pm 0.756 0.244 0.750
Pm 0.897 0.103 0.061
Pm 0.897 0.103 0.439
Fe 0.057 0.943 0.250
Fe 0.943 0.057 0.750
B 0.273 0.727 0.531
B 0.273 0.727 0.969
B 0.369 0.631 0.655
B 0.369 0.631 0.845
B 0.466 0.534 0.250
B 0.475 0.525 0.604
B 0.475 0.525 0.896
B 0.525 0.475 0.104
B 0.525 0.475 0.396
B 0.534 0.466 0.750
B 0.631 0.369 0.155
B 0.631 0.369 0.345
B 0.727 0.273 0.031
B 0.727 0.273 0.469

=====

DFT (PBE-GGA) results for crystalline PmFeB2 at its relaxed geometry.

ΔE_f = -0.20 eV per atom
raw total energy = -6.846 eV per atom
magnetic moment = 0.000 μB per atom

abc: 3.444 3.444 5.279
angles: 110.56 110.56 64.48
Element x y z (fractional)
Pm 0.000 0.000 0.000
Fe 0.500 0.500 0.500
B 0.170 0.170 0.571
B 0.830 0.830 0.429

=====

DFT (PBE-GGA) results for crystalline PmFeB at its relaxed geometry.

ΔE_f = -0.31 eV per atom
raw total energy = -6.937 eV per atom
magnetic moment = 0.252 μB per atom

abc: 3.597 3.597 7.991
angles: 90.00 90.00 90.00
Element x y z (fractional)
Pm 0.250 0.250 0.204
Pm 0.750 0.750 0.796
Fe 0.250 0.750 0.500
Fe 0.750 0.250 0.500
B 0.250 0.250 0.617
B 0.750 0.750 0.383